A geometry-optimized Pm7MgPb2 structure. Source: Alexandria via LeMat-Bulk, functional PBE.

Its formation energy is -0.096 eV per atom. The calculation puts the total energy at -4.32 eV per atom. The value obtained for the magnetic moment is 0.16 Bohr magnetons per cell.

It has space group P3m1 (No. 156), with a = 5.4242 Å, b = 5.4242 Å, c = 13.2360 Å, α = 90.00°, β = 90.00° and γ = 120.00°. The inequivalent atoms are Pm at (0.0000, 0.0000, 0.0000), Pm at (0.0000, 0.0000, 0.2593), Pm at (0.0000, 0.0000, 0.5207), Pm at (0.3333, 0.6667, 0.1456), Pm at (0.3333, 0.6667, 0.6684), Pm at (0.6667, 0.3333, 0.3890), Pm at (0.6667, 0.3333, 0.8430), Mg at (0.3333, 0.6667, 0.4043), Pb at (0.0000, 0.0000, 0.7612) and Pb at (0.6667, 0.3333, 0.1009).



A geometry-optimized PmMgPb4 structure. Source: Alexandria via LeMat-Bulk, functional PBE.

Its formation energy is -0.062 eV per atom. The calculation puts the total energy at -3.59 eV per atom. The value obtained for the magnetic moment is 0.00 Bohr magnetons per cell.

It has space group P4/mmm (No. 123), with a = 4.943 Å, b = 4.943 Å, c = 8.000 Å, α = 90.00°, β = 90.00° and γ = 90.00°. The inequivalent atoms are Pm at (0.000, 0.000, 0.000), Mg at (0.500, 0.500, 0.500) and Pb at (0.000, 0.500, 0.274).



A geometry-optimized Pm2MgPb4 structure. Source: Alexandria via LeMat-Bulk, functional PBE.

Its formation energy is -0.137 eV per atom. The calculation puts the total energy at -3.84 eV per atom. The value obtained for the magnetic moment is 0.00 Bohr magnetons per cell.

It has space group C2/m (No. 12), with a = 13.693 Å, b = 3.826 Å, c = 10.674 Å, α = 90.00°, β = 129.77° and γ = 90.00°. The inequivalent atoms are Pm at (0.012, 0.000, 0.182), Mg at (0.000, 0.000, 0.500), Pb at (0.183, 0.500, 0.541) and Pb at (0.234, 0.500, 0.131).



A geometry-optimized Pm12MgPb7 structure. Source: Alexandria via LeMat-Bulk, functional PBE.

Its formation energy is -0.224 eV per atom. The calculation puts the total energy at -4.45 eV per atom. The value obtained for the magnetic moment is 0.03 Bohr magnetons per cell.

It has space group R-3m (No. 166, hexagonal axes), with a = 16.0965 Å, b = 16.0965 Å, c = 8.8775 Å, α = 90.00°, β = 90.00° and γ = 120.00°. The inequivalent atoms are Pm at (0.0000, 0.2761, 0.0000), Pm at (0.1097, 0.2193, 0.3724), Mg at (0.0000, 0.0000, 0.0000), Pb at (0.0000, 0.0000, 0.5000) and Pb at (0.1082, 0.2164, 0.7529).



A geometry-optimized Pm2Mg2Pb structure. Source: Alexandria via LeMat-Bulk, functional PBE.

Its formation energy is -0.059 eV per atom. The calculation puts the total energy at -3.34 eV per atom. The value obtained for the magnetic moment is 0.00 Bohr magnetons per cell. The calculation puts the energy above the most stable polymorph in this dataset at 0 meV per atom.

It has space group C2/m (No. 12), with a = 12.615 Å, b = 3.861 Å, c = 6.406 Å, α = 90.00°, β = 97.13° and γ = 90.00°. The inequivalent atoms are Pm at (0.195, 0.000, 0.223), Mg at (0.081, 0.000, 0.687) and Pb at (0.000, 0.500, 0.000).



A geometry-optimized Pm8MgPb2 structure. Source: Alexandria via LeMat-Bulk, functional PBE.

Its formation energy is -0.144 eV per atom. The calculation puts the total energy at -4.42 eV per atom. The value obtained for the magnetic moment is 0.00 Bohr magnetons per cell.

It has space group C2/m (No. 12), with a = 17.695 Å, b = 6.735 Å, c = 6.459 Å, α = 90.00°, β = 108.32° and γ = 90.00°. The inequivalent atoms are Pm at (0.078, 0.000, 0.410), Pm at (0.101, 0.252, 0.956), Pm at (0.210, 0.500, 0.618), Mg at (0.000, 0.500, 0.500) and Pb at (0.237, 0.000, 0.819).